#1
IrWSeN2 | PBE | optimized geometry

The space group is P4/mmm (No. 123) and the conventional cell measures 3.7053, 3.7053 and 7.8990 Å, with angles of 90.00, 90.00 and 90.00 degrees. The asymmetric unit holds Ir at (0.0000, 0.0000, 0.0000), W at (0.5000, 0.5000, 0.5000), Se at (0.0000, 0.0000, 0.5000) and N at (0.0000, 0.5000, 0.0000).

The calculation puts the volume at 108 Å³ per cell. The calculated density comes out at 7.40 Mg/m³. As for the magnetization: 3.480 Bohr magnetons per cell.

#2
IrWSeN2 | PBE | optimized geometry

The space group is P4/mmm (No. 123) and the conventional cell measures 3.8431, 3.8431 and 5.4569 Å, with angles of 90.00, 90.00 and 90.00 degrees. The asymmetric unit holds Ir at (0.0000, 0.0000, 0.0000), W at (0.5000, 0.5000, 0.5000), Se at (0.5000, 0.5000, 0.0000) and N at (0.0000, 0.5000, 0.5000).

The calculation puts the volume at 81 Å³ per cell. The calculated density comes out at 9.95 Mg/m³. As for the magnetization: 1.232 Bohr magnetons per cell.

Q: What are the energies relative to the best structure? A: #1 441; #2 0, in meV per atom.

#1
YIrSe2N | PBE | optimized geometry

The space group is P4/mmm (No. 123) and the conventional cell measures 5.4121, 5.4121 and 4.2376 Å, with angles of 90.00, 90.00 and 90.00 degrees. The asymmetric unit holds Y at (0.0000, 0.0000, 0.0000), Ir at (0.5000, 0.5000, 0.5000), Se at (0.0000, 0.5000, 0.0000) and N at (0.0000, 0.0000, 0.5000).

The calculation puts the volume at 124 Å³ per cell. The calculated density comes out at 6.06 Mg/m³. As for the magnetization: 2.945 Bohr magnetons per cell.

#2
YIrSe2N | PBE | optimized geometry

The space group is P4/mmm (No. 123) and the conventional cell measures 5.1729, 5.1729 and 3.7188 Å, with angles of 90.00, 90.00 and 90.00 degrees. The asymmetric unit holds Y at (0.0000, 0.0000, 0.0000), Ir at (0.5000, 0.5000, 0.5000), Se at (0.0000, 0.5000, 0.5000) and N at (0.5000, 0.5000, 0.0000).

The calculation puts the volume at 100 Å³ per cell. The calculated density comes out at 7.56 Mg/m³. As for the magnetization: 0.000 Bohr magnetons per cell.

Q: What are the energies relative to the best structure? A: #1 1490; #2 0, in meV per atom.

#1
ZnIrSe2N | PBE | optimized geometry

The space group is P4/mmm (No. 123) and the conventional cell measures 4.9703, 4.9703 and 3.4859 Å, with angles of 90.00, 90.00 and 90.00 degrees. The asymmetric unit holds Zn at (0.0000, 0.0000, 0.0000), Ir at (0.5000, 0.5000, 0.5000), Se at (0.0000, 0.5000, 0.0000) and N at (0.0000, 0.0000, 0.5000).

The calculation puts the volume at 86 Å³ per cell. The calculated density comes out at 8.28 Mg/m³. As for the magnetization: 0.000 Bohr magnetons per cell.

#2
ZnIrSe2N | PBE | optimized geometry

The space group is P4/mmm (No. 123) and the conventional cell measures 5.1802, 5.1802 and 3.6420 Å, with angles of 90.00, 90.00 and 90.00 degrees. The asymmetric unit holds Zn at (0.0000, 0.0000, 0.0000), Ir at (0.5000, 0.5000, 0.5000), Se at (0.0000, 0.5000, 0.5000) and N at (0.5000, 0.5000, 0.0000).

The calculation puts the volume at 98 Å³ per cell. The calculated density comes out at 7.30 Mg/m³. As for the magnetization: 0.000 Bohr magnetons per cell.

Q: What are the energies relative to the best structure? A: #1 955; #2 0, in meV per atom.